VASP calculation (PBE-GGA) on a relaxed structure of RbTaOsO6.

As for the space group: Imma (74). As for the total moment: 0.710 μB per cell. The value obtained for the uncorrected formation energy is -1641 kJ/mol of formula units.

a b c (Å): 7.4375 7.2577 7.3618
angles (deg): 119.53 120.34 90.00
Last column: magnetic moment on the atom in μB.
Sites, in units of the cell vectors:
Rb  0.8688  0.6188  0.7375  0.00
Rb  0.1312  0.3812  0.2625  0.00
Ta  0.5000  0.0000  0.5000  -0.01
Ta  0.0000  0.0000  0.5000  -0.01
Os  0.5000  0.5000  0.0000  -0.22
Os  0.5000  0.0000  0.0000  -0.22
O  0.4540  0.7040  0.9080  -0.01
O  0.8149  0.0649  0.6299  -0.01
O  0.8098  0.0772  0.2542  -0.02
O  0.4444  0.6770  0.2542  -0.02
O  0.4444  0.0772  0.2542  -0.02
O  0.8098  0.6770  0.2542  -0.02
O  0.5460  0.2960  0.0920  -0.01
O  0.1851  0.9351  0.3701  -0.01
O  0.1902  0.9228  0.7458  -0.02
O  0.5556  0.3230  0.7458  -0.02
O  0.5556  0.9228  0.7458  -0.02
O  0.1902  0.3230  0.7458  -0.02



VASP calculation (PBE-GGA) on a relaxed structure of NaAcHoTe3.

As for the space group: P2_1/m (11). As for the total moment: 0.888 μB per cell. The value obtained for the uncorrected formation energy is -714 kJ/mol of formula units.

a b c (Å): 4.6479 8.5162 10.2554
angles (deg): 108.78 90.00 90.00
Last column: magnetic moment on the atom in μB.
Sites, in units of the cell vectors:
Na  0.2500  0.0980  0.5853  0.01
Na  0.7500  0.9020  0.4147  0.01
Ac  0.2500  0.2300  0.2532  0.05
Ac  0.7500  0.7700  0.7468  0.05
Ho  0.2500  0.6902  0.1613  0.11
Ho  0.7500  0.3098  0.8387  0.11
Te  0.7500  0.9194  0.1236  0.00
Te  0.2500  0.0806  0.8764  0.00
Te  0.2500  0.7059  0.4794  0.00
Te  0.7500  0.2941  0.5206  0.00
Te  0.7500  0.4477  0.1525  0.00
Te  0.2500  0.5523  0.8475  0.00



VASP calculation (PBE-GGA) on a relaxed structure of KTaAg2.

The formation energy from the elements comes out at 1125 meV per atom. As for the space group: I-4m2 (119). As for the total moment: 2.563 μB per cell. The energy relative to the lowest polymorph listed for this composition is 646.2 meV/atom.

a b c (Å): 5.8757 5.8757 5.8757
angles (deg): 137.87 137.87 61.10
Last column: magnetic moment on the atom in μB.
Sites, in units of the cell vectors:
Ag  0.0000  0.0000  0.0000  0.03
Ag  0.2500  0.7500  0.5000  0.08
K  0.5000  0.5000  0.0000  0.04
Ta  0.7500  0.2500  0.5000  1.52



VASP calculation (PBE-GGA) on a relaxed structure of Bi2Se2I.

As for the space group: I4/mmm (139). As for the total moment: 0.000 μB per cell. The value obtained for the uncorrected formation energy is -110 kJ/mol of formula units. The energy relative to the lowest polymorph listed for this composition is 0.0 meV/atom.

a b c (Å): 5.1766 5.1766 7.1460
angles (deg): 68.76 68.76 90.00
Sites, in units of the cell vectors:
I  0.0000  0.0000  0.0000
Bi  0.3572  0.3572  0.2855
Bi  0.6428  0.6428  0.7145
Se  0.7500  0.2500  0.5000
Se  0.2500  0.7500  0.5000



VASP calculation (PBE-GGA) on a relaxed structure of CeErTl.

The formation energy from the elements comes out at -208 meV per atom. As for the space group: P6_3/mmc (194). As for the total moment: 3.246 μB per cell. The energy relative to the lowest polymorph listed for this composition is 0.0 meV/atom.

a b c (Å): 5.4473 5.4473 6.5956
angles (deg): 90.00 90.00 119.99
Last column: magnetic moment on the atom in μB.
Sites, in units of the cell vectors:
Ce  0.0000  0.5000  0.0000  1.00
Ce  0.0000  0.5000  0.5000  1.00
Er  0.6666  0.8334  0.7500  0.24
Er  0.3334  0.1666  0.2500  0.24
Tl  0.3332  0.1668  0.7500  -0.03
Tl  0.6668  0.8332  0.2500  -0.03



VASP calculation (PBE-GGA) on a relaxed structure of MgZr2Fe.

The formation energy from the elements comes out at 197 meV per atom. As for the space group: I-4m2 (119). As for the total moment: 1.669 μB per cell.

a b c (Å): 5.3930 5.3930 5.3930
angles (deg): 135.16 135.16 65.28
Last column: magnetic moment on the atom in μB.
Sites, in units of the cell vectors:
Fe  0.5000  0.5000  0.0000  2.24
Mg  0.7500  0.2500  0.5000  -0.01
Zr  0.0000  0.0000  0.0000  -0.23
Zr  0.2500  0.7500  0.5000  -0.15



VASP calculation (PBE-GGA) on a relaxed structure of GaCoSe2.

As for the space group: R-3m (166). As for the total moment: 2.000 μB per cell. The value obtained for the uncorrected formation energy is 36 kJ/mol of formula units.

a b c (Å): 7.7282 7.7282 7.7282
angles (deg): 28.22 28.22 28.22
Last column: magnetic moment on the atom in μB.
Sites, in units of the cell vectors:
Co  0.0000  0.0000  0.0000  1.91
Ga  0.5000  0.5000  0.5000  -0.03
Se  0.8983  0.8983  0.8983  0.05
Se  0.1017  0.1017  0.1017  0.05



VASP calculation (PBE-GGA) on a relaxed structure of Th2Tl3HgTe6.

As for the space group: C2/m (12). As for the total moment: 0.000 μB per cell. The value obtained for the uncorrected formation energy is -808 kJ/mol of formula units.

a b c (Å): 4.4997 9.7141 10.7722
angles (deg): 104.67 102.06 90.00
Sites, in units of the cell vectors:
Th  0.8337  0.6726  0.6675
Th  0.1663  0.3274  0.3325
Tl  0.5000  0.5000  0.0000
Tl  0.8457  0.1664  0.6913
Tl  0.1543  0.8336  0.3087
Hg  0.5000  0.0000  0.0000
Te  0.3225  0.8871  0.6451
Te  0.6738  0.5636  0.3476
Te  0.6775  0.1129  0.3549
Te  0.0172  0.2432  0.0343
Te  0.9828  0.7568  0.9657
Te  0.3262  0.4364  0.6524